No. 1
Y2Zn3Au5 | PBE | relaxed

## Properties
For the energy above the lowest structure with this stoichiometry, the calculation gives 0 meV/atom. As for the crystal system: orthorhombic. The total magnetic moment is 0.000 μB/atom. As for the symmetry: Cmc2_1. For the density of states at the Fermi level, the calculation gives 9.122 states/eV per cell.

abc: 12.4702 12.4702 7.1621
angles: 90.00 90.00 159.62
With the nearest neighbours (Å) after each atom.
Sites, in units of the cell vectors:
Y (0.0243, 0.9757, 0.5000)  5 Zn 3.06-3.16, 8 Au 3.14-3.32
Y (0.3209, 0.6791, 0.5876)  8 Au 3.00-3.28, 1 Zn 3.30
Y (0.6791, 0.3209, 0.0876)  8 Au 3.00-3.28, 1 Zn 3.30
Y (0.9757, 0.0243, 0.0000)  5 Zn 3.06-3.16, 8 Au 3.14-3.32
Zn (0.1228, 0.8772, 0.7608)  4 Au 2.57-2.81
Zn (0.2833, 0.7167, 0.1458)  7 Au 2.59-2.87
Zn (0.4544, 0.5456, 0.7054)  5 Au 2.60-2.70
Zn (0.5456, 0.4544, 0.2054)  5 Au 2.60-2.70
Zn (0.7167, 0.2833, 0.6458)  7 Au 2.59-2.87
Zn (0.8772, 0.1228, 0.2608)  4 Au 2.57-2.81
Au (0.0976, 0.9024, 0.1341)  3 Zn 2.60-2.74
Au (0.1943, 0.8057, 0.4054)  4 Zn 2.85-3.09, 5 Au 2.98-3.07, 2 Y 3.19
Au (0.2244, 0.7756, 0.8454)  4 Zn 2.57-2.64
Au (0.3831, 0.6169, 0.9935)  4 Zn 2.68-2.93, 3 Au 2.86-2.98
Au (0.4453, 0.5547, 0.3305)  4 Zn 2.62-2.81, 1 Au 2.86
Au (0.5547, 0.4453, 0.8305)  4 Zn 2.62-2.81, 1 Au 2.86
Au (0.6169, 0.3831, 0.4935)  4 Zn 2.68-2.93, 3 Au 2.86-2.98
Au (0.7756, 0.2244, 0.3454)  4 Zn 2.57-2.64
Au (0.8057, 0.1943, 0.9054)  4 Zn 2.85-3.09, 5 Au 2.98-3.07, 2 Y 3.19
Au (0.9024, 0.0976, 0.6341)  3 Zn 2.60-2.74

***

No. 2
KInPb | PBE | relaxed

## Properties
As for the crystal system: orthorhombic. The total magnetic moment is 0.000 μB/atom. As for the symmetry: Aem2. As for the total DFT energy (no corrections): -14.704 eV/cell. For the density of states at the Fermi level, the calculation gives 2.361 states/eV per cell.

abc: 8.4739 5.1129 5.1129
angles: 76.85 90.00 90.00
With the nearest neighbours (Å) after each atom.
Sites, in units of the cell vectors:
K (0.0000, 0.0000, 0.0000)  2 K 3.18
K (0.0000, 0.5000, 0.5000)  2 K 3.18
In (0.3599, 0.5891, 0.0891)  2 Pb 2.94-3.12
In (0.6401, 0.0891, 0.5891)  2 Pb 2.94-3.12
Pb (0.3110, 0.9746, 0.4746)  2 In 2.94-3.12
Pb (0.6890, 0.4746, 0.9746)  2 In 2.94-3.12

***

No. 3
ZrSiTe3 | PBE | relaxed

## Properties
For the energy above the lowest structure with this stoichiometry, the calculation gives 0 meV/atom. As for the crystal system: cubic. The total magnetic moment is 0.116 μB/atom. As for the symmetry: Pm-3m. For the density of states at the Fermi level, the calculation gives 3.997 states/eV per cell. For the uncorrected formation energy, the calculation gives 0.336 eV/atom.

abc: 5.5808 5.5808 5.5808
angles: 90.00 90.00 90.00
With the nearest neighbours (Å) after each atom.
Sites, in units of the cell vectors:
Zr (0.0000, 0.0000, 0.0000)  6 Te 2.79
Si (0.5000, 0.5000, 0.5000)  12 Te 3.95
Te (0.0000, 0.0000, 0.5000)  2 Zr 2.79
Te (0.0000, 0.5000, 0.0000)  2 Zr 2.79
Te (0.5000, 0.0000, 0.0000)  2 Zr 2.79

***

No. 4
In2TeRuPb | PBE | relaxed

## Properties
As for the crystal system: tetragonal. The total magnetic moment is 0.000 μB/atom. As for the symmetry: P4/mmm. For the density of states at the Fermi level, the calculation gives 4.313 states/eV per cell. For the uncorrected formation energy, the calculation gives 0.220 eV/atom.

abc: 5.2184 5.2184 5.2040
angles: 90.00 90.00 90.00
With the nearest neighbours (Å) after each atom.
Sites, in units of the cell vectors:
In (0.0000, 0.5000, 0.0000)  2 Ru 2.61
In (0.5000, 0.0000, 0.0000)  2 Ru 2.61
Te (0.0000, 0.0000, 0.5000)  2 Ru 2.60
Ru (0.0000, 0.0000, 0.0000)  2 Te 2.60, 4 In 2.61
Pb (0.5000, 0.5000, 0.5000)  8 In 3.68, 4 Te 3.69

***

No. 5
In2OsAu | PBE | relaxed

## Properties
As for the crystal system: tetragonal. The total magnetic moment is 0.029 μB/atom. As for the symmetry: I-4m2. As for the total DFT energy (no corrections): -18.614 eV/cell. For the density of states at the Fermi level, the calculation gives 2.624 states/eV per cell.

abc: 5.4245 5.4245 5.4245
angles: 136.72 136.72 62.86
With the nearest neighbours (Å) after each atom.
Sites, in units of the cell vectors:
In (0.0000, 0.0000, 0.0000)  4 Au 2.83, 4 In 3.06, 4 Os 3.06
In (0.7500, 0.2500, 0.5000)  4 Os 2.83, 4 In 3.06, 4 Au 3.06
Os (0.2500, 0.7500, 0.5000)  8 In 2.83-3.06, 4 Au 3.06
Au (0.5000, 0.5000, 0.0000)  8 In 2.83-3.06, 4 Os 3.06

***

No. 6
SbAu | PBE | relaxed

## Properties
As for the crystal system: cubic. The total magnetic moment is 0.000 μB/atom. As for the symmetry: I-43m. For the density of states at the Fermi level, the calculation gives 6.186 states/eV per cell. For the uncorrected formation energy, the calculation gives 0.213 eV/atom.

abc: 7.3746 7.3746 7.3746
angles: 109.47 109.47 109.47
With the nearest neighbours (Å) after each atom.
Sites, in units of the cell vectors:
Sb (0.0000, 0.0000, 0.6958)  4 Au 2.62-2.75
Sb (0.0000, 0.6958, 0.0000)  4 Au 2.62-2.75
Sb (0.3042, 0.3042, 0.3042)  4 Au 2.62-2.75
Sb (0.6958, 0.0000, 0.0000)  4 Au 2.62-2.75
Au (0.0000, 0.0000, 0.3407)  4 Sb 2.62-2.75
Au (0.0000, 0.3407, 0.0000)  4 Sb 2.62-2.75
Au (0.3407, 0.0000, 0.0000)  4 Sb 2.62-2.75
Au (0.6593, 0.6593, 0.6593)  4 Sb 2.62-2.75

***

No. 7
Cr3BiB | PBE | relaxed

## Properties
For the energy above the lowest structure with this stoichiometry, the calculation gives 0 meV/atom. As for the crystal system: cubic. The total magnetic moment is 0.000 μB/atom. As for the symmetry: Pm-3m. For the density of states at the Fermi level, the calculation gives 13.080 states/eV per cell.

abc: 4.0555 4.0555 4.0555
angles: 90.00 90.00 90.00
With the nearest neighbours (Å) after each atom.
Sites, in units of the cell vectors:
Cr (0.0000, 0.0000, 0.5000)  2 B 2.03
Cr (0.0000, 0.5000, 0.0000)  2 B 2.03
Cr (0.5000, 0.0000, 0.0000)  2 B 2.03
Bi (0.5000, 0.5000, 0.5000)  12 Cr 2.87
B (0.0000, 0.0000, 0.0000)  6 Cr 2.03

***

No. 8
PrY7Ho12 | PBE | relaxed

## Properties
For the energy above the lowest structure with this stoichiometry, the calculation gives 0 meV/atom. As for the crystal system: trigonal. The total magnetic moment is 0.000 μB/atom. As for the symmetry: R-3. For the density of states at the Fermi level, the calculation gives 36.690 states/eV per cell.

abc: 8.7163 8.7163 8.7163
angles: 87.05 87.05 87.05
With the nearest neighbours (Å) after each atom.
Sites, in units of the cell vectors:
Pr (0.0000, 0.0000, 0.0000)  6 Y 3.32
Y (0.0025, 0.8781, 0.3669)  1 Y 3.22, 4 Ho 3.24-3.43, 1 Pr 3.32
Y (0.1219, 0.6331, 0.9975)  1 Y 3.22, 4 Ho 3.24-3.43, 1 Pr 3.32
Y (0.3669, 0.0025, 0.8781)  1 Y 3.22, 4 Ho 3.24-3.43, 1 Pr 3.32
Y (0.5000, 0.5000, 0.5000)  6 Ho 3.41
Y (0.6331, 0.9975, 0.1219)  1 Y 3.22, 4 Ho 3.24-3.43, 1 Pr 3.32
Y (0.8781, 0.3669, 0.0025)  1 Y 3.22, 4 Ho 3.24-3.43, 1 Pr 3.32
Y (0.9975, 0.1219, 0.6331)  1 Y 3.22, 4 Ho 3.24-3.43, 1 Pr 3.32
Ho (0.1055, 0.4326, 0.3471)  6 Ho 3.39-3.75, 3 Y 3.43-3.77
Ho (0.2331, 0.3555, 0.7606)  4 Y 3.24-3.41, 2 Ho 3.54
Ho (0.2394, 0.7669, 0.6445)  4 Y 3.24-3.41, 2 Ho 3.54
Ho (0.3471, 0.1055, 0.4326)  6 Ho 3.39-3.75, 3 Y 3.43-3.77
Ho (0.3555, 0.7606, 0.2331)  4 Y 3.24-3.41, 2 Ho 3.54
Ho (0.4326, 0.3471, 0.1055)  6 Ho 3.39-3.75, 3 Y 3.43-3.77
Ho (0.5674, 0.6529, 0.8945)  6 Ho 3.39-3.75, 3 Y 3.43-3.77
Ho (0.6445, 0.2394, 0.7669)  4 Y 3.24-3.41, 2 Ho 3.54
Ho (0.6529, 0.8945, 0.5674)  6 Ho 3.39-3.75, 3 Y 3.43-3.77
Ho (0.7606, 0.2331, 0.3555)  4 Y 3.24-3.41, 2 Ho 3.54
Ho (0.7669, 0.6445, 0.2394)  4 Y 3.24-3.41, 2 Ho 3.54
Ho (0.8945, 0.5674, 0.6529)  6 Ho 3.39-3.75, 3 Y 3.43-3.77